DFT (PBE) results for a relaxed NbFeTe2I crystal.

Computed properties:
E_form (uncorrected) (eV per atom): 0.74
Magnetic moment (Bohr magnetons per cell): 4.01
Crystal system: tetragonal
ΔE to the lowest computed polymorph (eV per atom): 0.0000
Mass density (g/cm3): 5.3

Cell lengths 5.410, 5.410, 5.669 Å; angles 90.00, 90.00, 90.00 degrees
Fractional coordinates of all 5 atoms:
Nb 0.000 0.000 0.000
Fe 0.500 0.500 0.500
Te 0.000 0.500 0.000
Te 0.500 0.000 0.000
I 0.000 0.000 0.500